Here is a geometry-optimized NdMgTlIn structure from Alexandria via LeMat-Bulk. Energies are from PBE.

The space group is Pmmm (No. 47) and the conventional cell measures 4.6169, 4.7507 and 4.7811 Å, with angles of 90.00, 90.00 and 90.00 degrees. The inequivalent atoms are Nd at (0.0000, 0.0000, 0.0000), Mg at (0.0000, 0.5000, 0.5000), Tl at (0.5000, 0.0000, 0.5000) and In at (0.5000, 0.5000, 0.0000).

The volume is 26.22 Å³/atom. The value obtained for the energy above the lowest structure with this stoichiometry is 0.00 eV per formula unit.


Here is a geometry-optimized NdTm2Mg2In2 structure from Alexandria via LeMat-Bulk. Energies are from PBE.

The space group is R-3m (No. 166, hexagonal axes) and the conventional cell measures 5.0106, 5.0106 and 26.1573 Å, with angles of 90.00, 90.00 and 120.00 degrees. The inequivalent atoms are Nd at (0.0000, 0.0000, 0.0000), Tm at (0.0000, 0.0000, 0.1312), Mg at (0.0000, 0.0000, 0.4084) and In at (0.0000, 0.0000, 0.2596).

The volume is 27.08 Å³/atom.


Here is a geometry-optimized Nd2YMg2In2 structure from Alexandria via LeMat-Bulk. Energies are from PBE.

The space group is R-3m (No. 166, hexagonal axes) and the conventional cell measures 5.0105, 5.0105 and 27.0685 Å, with angles of 90.00, 90.00 and 120.00 degrees. The inequivalent atoms are Nd at (0.0000, 0.0000, 0.1287), Y at (0.0000, 0.0000, 0.0000), Mg at (0.0000, 0.0000, 0.3962) and In at (0.0000, 0.0000, 0.2656).

The volume is 28.02 Å³/atom.


Here is a geometry-optimized NdMg2Zn2In2 structure from Alexandria via LeMat-Bulk. Energies are from PBE.

The space group is R-3m (No. 166, hexagonal axes) and the conventional cell measures 4.6860, 4.6860 and 25.6148 Å, with angles of 90.00, 90.00 and 120.00 degrees. The inequivalent atoms are Nd at (0.0000, 0.0000, 0.0000), Mg at (0.0000, 0.0000, 0.1342), Zn at (0.0000, 0.0000, 0.3986) and In at (0.0000, 0.0000, 0.2531).

The volume is 23.20 Å³/atom.


Here is a geometry-optimized MgIn2Ni3 structure from Alexandria via LeMat-Bulk. Energies are from PBE.

The space group is P4/mmm (No. 123) and the conventional cell measures 3.1522, 3.1522 and 9.1801 Å, with angles of 90.00, 90.00 and 90.00 degrees. The inequivalent atoms are Mg at (0.0000, 0.0000, 0.0000), In at (0.0000, 0.0000, 0.3287), Ni at (0.5000, 0.5000, 0.1640) and Ni at (0.5000, 0.5000, 0.5000).

The volume is 15.20 Å³/atom. The value obtained for the energy above the lowest structure with this stoichiometry is 0.15 eV per formula unit.


Here is a geometry-optimized Mg3In2Ni structure from Alexandria via LeMat-Bulk. Energies are from PBE.

The space group is Cmcm (No. 63) and the conventional cell measures 13.5791, 6.2499 and 6.0543 Å, with angles of 90.00, 90.00 and 90.00 degrees. The inequivalent atoms are Mg at (0.0000, 0.1477, 0.2500), Mg at (0.1879, 0.1087, 0.7500), In at (0.1225, 0.5000, 0.0000) and Ni at (0.0000, 0.2681, 0.7500).

The volume is 21.41 Å³/atom.


Here is a geometry-optimized Mg2InNi2 structure from Alexandria via LeMat-Bulk. Energies are from PBE.

The space group is P4/mbm (No. 127) and the conventional cell measures 6.6648, 6.6648 and 3.7794 Å, with angles of 90.00, 90.00 and 90.00 degrees. The inequivalent atoms are Mg at (0.1619, 0.3381, 0.0000), In at (0.0000, 0.0000, 0.5000) and Ni at (0.1291, 0.6291, 0.5000).

The volume is 16.79 Å³/atom.


Here is a geometry-optimized Mg3InNi8 structure from Alexandria via LeMat-Bulk. Energies are from PBE.

The space group is R3m (No. 160, hexagonal axes) and the conventional cell measures 4.8544, 4.8544 and 23.6241 Å, with angles of 90.00, 90.00 and 120.00 degrees. The inequivalent atoms are Mg at (0.0000, 0.0000, 0.0000), Mg at (0.0000, 0.0000, 0.1241), Mg at (0.0000, 0.0000, 0.6267), In at (0.0000, 0.0000, 0.5011), Ni at (0.0000, 0.0000, 0.3130), Ni at (0.0000, 0.0000, 0.8128), Ni at (0.0005, 0.5002, 0.0626) and Ni at (0.9996, 0.4998, 0.5633).

The volume is 13.39 Å³/atom.


Here is a geometry-optimized Mg3In2Ni4 structure from Alexandria via LeMat-Bulk. Energies are from PBE.

The space group is P-3m1 (No. 164) and the conventional cell measures 4.3866, 4.3866 and 8.3055 Å, with angles of 90.00, 90.00 and 120.00 degrees. The inequivalent atoms are Mg at (0.0000, 0.0000, 0.0000), Mg at (0.3333, 0.6667, 0.4220), In at (0.3333, 0.6667, 0.7874), Ni at (0.0000, 0.0000, 0.3418) and Ni at (0.3333, 0.6667, 0.1053).

The volume is 15.38 Å³/atom.


Here is a geometry-optimized Mg6In2Ni structure from Alexandria via LeMat-Bulk. Energies are from PBE.

The space group is P-62m (No. 189) and the conventional cell measures 8.1750, 8.1750 and 3.2717 Å, with angles of 90.00, 90.00 and 120.00 degrees. The inequivalent atoms are Mg at (0.0000, 0.2508, 0.0000), Mg at (0.0000, 0.6407, 0.5000), In at (0.3333, 0.6667, 0.0000) and Ni at (0.0000, 0.0000, 0.5000).

The volume is 21.04 Å³/atom.


Here is a geometry-optimized Mg3In7Ni2 structure from Alexandria via LeMat-Bulk. Energies are from PBE.

The space group is Cmmm (No. 65) and the conventional cell measures 4.4573, 26.8033 and 4.4667 Å, with angles of 90.00, 90.00 and 90.00 degrees. The inequivalent atoms are Mg at (0.0000, 0.0000, 0.0000), Mg at (0.0000, 0.2051, 0.5000), In at (0.0000, 0.0926, 0.5000), In at (0.0000, 0.2977, 0.0000), In at (0.0000, 0.4113, 0.0000), In at (0.0000, 0.5000, 0.5000) and Ni at (0.0000, 0.1458, 0.0000).

The volume is 22.23 Å³/atom.


Here is a geometry-optimized Mg12InNi6 structure from Alexandria via LeMat-Bulk. Energies are from PBE.

The space group is Im-3 (No. 204) and the conventional cell measures 8.8164, 8.8164 and 8.8164 Å, with angles of 90.00, 90.00 and 90.00 degrees. The inequivalent atoms are Mg at (0.0000, 0.2921, 0.1844), In at (0.0000, 0.0000, 0.0000) and Ni at (0.0000, 0.1302, 0.5000).

The volume is 18.03 Å³/atom.


| no. | spin magnetization (μB/f.u.) | ΔE_f (eV/atom) | uncorrected energy (eV/cell) |
| --- | --- | --- | --- |
| 1 | 0.0 | -0.3574 | -12.9 |
| 2 | 0.0 | -0.2297 | -72.0 |
| 3 | 0.0 | -0.2570 | -79.4 |
| 4 | 0.0 | -0.2679 | -53.6 |
| 5 | 0.0 | -0.1258 | -25.2 |
| 6 | 0.0 | -0.0456 | -65.3 |
| 7 | 0.0 | -0.1583 | -36.6 |
| 8 | 0.1 | -0.1847 | -168.0 |
| 9 | 0.0 | -0.1655 | -34.9 |
| 10 | 0.0 | -0.1150 | -21.9 |
| 11 | 0.0 | -0.0648 | -72.6 |
| 12 | 0.0 | -0.0581 | -115.3 |